PmYTlSi | the Alexandria database | GGA-PBE | optimized geometry; magnetization = 0.00 μB/f.u.; raw formation energy = -134 kJ/mol of formula units
1.0
0.0000 3.7107 3.7107
3.7107 0.0000 3.7107
3.7107 3.7107 0.0000
Pm Y Tl Si
1 1 1 1
direct
0.0000 0.0000 0.0000
0.5000 0.5000 0.5000
0.2500 0.2500 0.2500
0.7500 0.7500 0.7500